1.
CsScSe2: relaxed, PBE.

Cell: 3.9291 7.7141 9.4877 Å, 107.34 90.02 90.57°
With the nearest neighbours (Å) after each atom.
Space group P-1 (No. 2)
Symmetry-distinct sites (fractional):
Cs1 0.2426 0.1868 0.3145 (multiplicity 2)  6 Se 3.59-3.93, 2 Cs 3.93
Sc1 0.2466 0.3702 0.8418 (multiplicity 2)  5 Se 2.60-2.78
Se1 0.2550 0.6933 0.3532 (multiplicity 2)  2 Sc 2.64
Se2 0.2548 0.7157 0.9826 (multiplicity 2)  3 Sc 2.60-2.78

Properties
VASP energy   -40.6 eV per cell
Spin magnetization   0.0 Bohr magnetons per cell
N(E_F)   0.00 states/eV per cell



2.
NaNdCdPb: relaxed, PBE.

Cell: 4.3908 4.8844 5.2544 Å, 90.00 90.00 90.00°
With the nearest neighbours (Å) after each atom.
Space group Pmmm (No. 47)
Symmetry-distinct sites (fractional):
Na1 0.0000 0.0000 0.0000 (multiplicity 1)  4 Cd 3.28, 4 Pb 3.42, 4 Nd 3.59
Nd1 0.0000 0.5000 0.5000 (multiplicity 1)  4 Pb 3.28, 4 Cd 3.42, 4 Na 3.59
Cd1 0.5000 0.5000 0.0000 (multiplicity 1)  4 Na 3.28, 4 Nd 3.42, 4 Pb 3.59
Pb1 0.5000 0.0000 0.5000 (multiplicity 1)  4 Nd 3.28, 4 Na 3.42, 4 Cd 3.59

Properties
VASP energy   -12.0 eV per cell
Spin magnetization   0.0 Bohr magnetons per cell
N(E_F)   1.76 states/eV per cell



3.
AlAs: relaxed, PBE.

Cell: 2.8983 2.8983 4.9553 Å, 90.00 90.00 120.00°
With the nearest neighbours (Å) after each atom.
Space group P-6m2 (No. 187)
Symmetry-distinct sites (fractional):
Al1 0.0000 0.0000 0.0000 (multiplicity 1)  6 Al 2.90, 6 As 2.99
As1 0.6667 0.3333 0.5000 (multiplicity 1)  6 As 2.90, 6 Al 2.99

Properties
VASP energy   -8.0 eV per cell
Spin magnetization   0.0 Bohr magnetons per cell
N(E_F)   0.26 states/eV per cell